Record 1
A relaxed Li2SmErSe4 crystal, computed with PBE.

The uncorrected formation energy is -1.68 eV per atom. Its density of states at the Fermi level is 0.00 states/eV/atom. The value obtained for the density is 5.68 Mg/m³.

The space group is P2/m (No. 10) and the conventional cell measures 6.9190, 4.0978 and 7.0962 Å, with angles of 90.00, 109.92 and 90.00 degrees. Symmetry generates all atoms from Li at (0.0000, 0.0000, 0.0000), Li at (0.0000, 0.5000, 0.5000), Sm at (0.5000, 0.0000, 0.5000), Er at (0.5000, 0.5000, 0.0000), Se at (0.2440, 0.5000, 0.2417) and Se at (0.2473, 0.0000, 0.7557).


Record 2
A relaxed LiSmErSe3 crystal, computed with PBE.

The uncorrected formation energy is -1.65 eV per atom. Its density of states at the Fermi level is 0.33 states/eV/atom. The value obtained for the density is 6.54 Mg/m³.

The space group is P2_1/m (No. 11) and the conventional cell measures 8.3652, 3.9836 and 8.7808 Å, with angles of 90.00, 103.06 and 90.00 degrees. Symmetry generates all atoms from Li at (0.0864, 0.2500, 0.0843), Sm at (0.1895, 0.2500, 0.7258), Er at (0.3337, 0.7500, 0.3369), Se at (0.0946, 0.2500, 0.3708), Se at (0.2250, 0.7500, 0.9991) and Se at (0.4309, 0.7500, 0.6727).


Record 3
A relaxed Li2ErSn3Se6 crystal, computed with PBE.

The uncorrected formation energy is -0.90 eV per atom. Its density of states at the Fermi level is 0.38 states/eV/atom. The value obtained for the density is 5.62 Mg/m³.

The space group is C2/m (No. 12) and the conventional cell measures 7.0937, 12.3116 and 7.2295 Å, with angles of 90.00, 108.90 and 90.00 degrees. Symmetry generates all atoms from Li at (0.0000, 0.1718, 0.0000), Er at (0.0000, 0.5000, 0.0000), Sn at (0.0000, 0.0000, 0.5000), Sn at (0.0000, 0.3357, 0.5000), Se at (0.2436, 0.3361, 0.2317) and Se at (0.2474, 0.5000, 0.7588).


Record 4
A relaxed LiEr2Sn3Se6 crystal, computed with PBE.

The uncorrected formation energy is -0.99 eV per atom. Its density of states at the Fermi level is 0.35 states/eV/atom. The value obtained for the density is 6.18 Mg/m³.

The space group is C2/m (No. 12) and the conventional cell measures 18.5210, 4.1385 and 8.5793 Å, with angles of 90.00, 106.68 and 90.00 degrees. Symmetry generates all atoms from Li at (0.0000, 0.0000, 0.0000), Er at (0.1638, 0.5000, 0.3317), Sn at (0.0000, 0.0000, 0.5000), Sn at (0.1583, 0.5000, 0.8452), Se at (0.0058, 0.5000, 0.2414), Se at (0.1639, 0.0000, 0.0986) and Se at (0.1729, 0.0000, 0.5677).


Record 5
A relaxed Li4Er3SnSe8 crystal, computed with PBE.

The uncorrected formation energy is -1.44 eV per atom. Its density of states at the Fermi level is 0.12 states/eV/atom. The value obtained for the density is 5.79 Mg/m³.

The space group is R-3m (No. 166, hexagonal axes) and the conventional cell measures 8.0871, 8.0871 and 19.4466 Å, with angles of 90.00, 90.00 and 120.00 degrees. Symmetry generates all atoms from Li at (0.0000, 0.0000, 0.0000), Li at (0.0000, 0.5000, 0.0000), Er at (0.0000, 0.5000, 0.5000), Sn at (0.0000, 0.0000, 0.5000), Se at (0.0000, 0.0000, 0.2504) and Se at (0.0009, 0.5004, 0.7492).


Record 6
A relaxed Sr3LiEr3Se8 crystal, computed with PBE.

The uncorrected formation energy is -1.82 eV per atom. The value obtained for the density is 5.52 Mg/m³.

The space group is R-3m (No. 166, hexagonal axes) and the conventional cell measures 8.3152, 8.3152 and 21.1619 Å, with angles of 90.00, 90.00 and 120.00 degrees. Symmetry generates all atoms from Sr at (0.0000, 0.5000, 0.0000), Li at (0.0000, 0.0000, 0.5000), Er at (0.0000, 0.5000, 0.5000), Se at (0.0000, 0.0000, 0.2426) and Se at (0.0047, 0.5024, 0.7594).


Record 7
A relaxed Li2Tb3ErSe6 crystal, computed with PBE.

The uncorrected formation energy is -1.73 eV per atom. Its density of states at the Fermi level is 0.22 states/eV/atom. The value obtained for the density is 6.72 Mg/m³.

The space group is C2/m (No. 12) and the conventional cell measures 6.9945, 12.1124 and 7.0030 Å, with angles of 90.00, 109.44 and 90.00 degrees. Symmetry generates all atoms from Li at (0.0000, 0.1676, 0.0000), Tb at (0.0000, 0.0000, 0.5000), Tb at (0.0000, 0.3334, 0.5000), Er at (0.0000, 0.5000, 0.0000), Se at (0.2429, 0.0000, 0.2404) and Se at (0.2485, 0.3314, 0.2394).


Record 8
A relaxed LiTb2ErSe5 crystal, computed with PBE.

The uncorrected formation energy is -1.70 eV per atom. The value obtained for the density is 6.93 Mg/m³.

The space group is Cmc2_1 (No. 36) and the conventional cell measures 4.0541, 16.9771 and 12.3443 Å, with angles of 90.00, 90.00 and 90.00 degrees. Symmetry generates all atoms from Li at (0.0000, 0.0128, 0.0000), Tb at (0.0000, 0.3746, 0.8121), Tb at (0.0000, 0.3928, 0.2034), Er at (0.0000, 0.3042, 0.5206), Se at (0.0000, 0.0000, 0.3033), Se at (0.0000, 0.1382, 0.5183), Se at (0.0000, 0.1927, 0.8599), Se at (0.0000, 0.2152, 0.1810) and Se at (0.0000, 0.4537, 0.5936).


Record 9
A relaxed LiTbErSe3 crystal, computed with PBE.

The uncorrected formation energy is -1.63 eV per atom. Its density of states at the Fermi level is 0.36 states/eV/atom. The value obtained for the density is 6.79 Mg/m³.

The space group is P2_1/m (No. 11) and the conventional cell measures 8.3083, 3.9438 and 8.7264 Å, with angles of 90.00, 102.91 and 90.00 degrees. Symmetry generates all atoms from Li at (0.0866, 0.2500, 0.0838), Tb at (0.1876, 0.2500, 0.7242), Er at (0.3350, 0.7500, 0.3352), Se at (0.0921, 0.2500, 0.3716), Se at (0.2261, 0.7500, 0.9950) and Se at (0.4257, 0.7500, 0.6725).


Record 10
A relaxed Li2TbEr3Se6 crystal, computed with PBE.

The uncorrected formation energy is -1.72 eV per atom. Its density of states at the Fermi level is 0.21 states/eV/atom. The value obtained for the density is 6.92 Mg/m³.

The space group is C2/m (No. 12) and the conventional cell measures 6.9556, 12.0418 and 6.9798 Å, with angles of 90.00, 109.44 and 90.00 degrees. Symmetry generates all atoms from Li at (0.0000, 0.1681, 0.0000), Tb at (0.0000, 0.5000, 0.0000), Er at (0.0000, 0.0000, 0.5000), Er at (0.0000, 0.3344, 0.5000), Se at (0.2415, 0.0000, 0.2458) and Se at (0.2480, 0.1701, 0.7543).


Record 11
A relaxed Li3Tb2ErSe6 crystal, computed with PBE.

The uncorrected formation energy is -1.70 eV per atom. Its density of states at the Fermi level is 0.00 states/eV/atom. The value obtained for the density is 5.81 Mg/m³.

The space group is C2/m (No. 12) and the conventional cell measures 7.0514, 12.2130 and 6.9097 Å, with angles of 90.00, 109.90 and 90.00 degrees. Symmetry generates all atoms from Li at (0.0000, 0.0000, 0.0000), Li at (0.0000, 0.3338, 0.0000), Tb at (0.0000, 0.1667, 0.5000), Er at (0.0000, 0.5000, 0.5000), Se at (0.2459, 0.5000, 0.2472) and Se at (0.2504, 0.1651, 0.2466).


Record 12
A relaxed LiTb4ErSe8 crystal, computed with PBE.

The uncorrected formation energy is -1.78 eV per atom. Its density of states at the Fermi level is 0.00 states/eV/atom. The value obtained for the density is 5.76 Mg/m³.

The space group is R3m (No. 160, hexagonal axes) and the conventional cell measures 8.3931, 8.3931 and 20.4530 Å, with angles of 90.00, 90.00 and 120.00 degrees. Symmetry generates all atoms from Li at (0.0000, 0.0000, 0.0000), Tb at (0.0000, 0.0000, 0.2494), Tb at (0.1734, 0.3469, 0.4566), Er at (0.0000, 0.0000, 0.6304), Se at (0.0000, 0.0000, 0.3834), Se at (0.0000, 0.0000, 0.8701), Se at (0.0153, 0.5077, 0.3759) and Se at (0.1793, 0.3586, 0.2066).


Please write out number 5 again, unchanged.
A relaxed Li4Er3SnSe8 crystal, computed with PBE.

The uncorrected formation energy is -1.44 eV per atom. Its density of states at the Fermi level is 0.12 states/eV/atom. The value obtained for the density is 5.79 Mg/m³.

The space group is R-3m (No. 166, hexagonal axes) and the conventional cell measures 8.0871, 8.0871 and 19.4466 Å, with angles of 90.00, 90.00 and 120.00 degrees. Symmetry generates all atoms from Li at (0.0000, 0.0000, 0.0000), Li at (0.0000, 0.5000, 0.0000), Er at (0.0000, 0.5000, 0.5000), Sn at (0.0000, 0.0000, 0.5000), Se at (0.0000, 0.0000, 0.2504) and Se at (0.0009, 0.5004, 0.7492).